DFT (PBE) results for a geometry-optimized Dy2Ga3Ni5 structure.

Formation energy from the elements   -0.5049 eV/atom
Energy relative to the lowest polymorph listed for this composition   0 meV/atom

abc: 4.179 21.077 7.076
angles: 90.00 90.00 90.00
Space group Cmc2_1 (No. 36)
One atom of each set of equivalent atoms:
Dy 0.000 0.016 0.000 x4
Dy 0.000 0.346 0.489 x4
Ga 0.000 0.120 0.671 x4
Ga 0.000 0.243 0.160 x4
Ga 0.000 0.443 0.798 x4
Ni 0.000 0.119 0.286 x4
Ni 0.000 0.217 0.488 x4
Ni 0.000 0.237 0.828 x4
Ni 0.000 0.348 0.986 x4
Ni 0.000 0.445 0.197 x4

DFT (PBE) results for a geometry-optimized LaPr2 structure.

Formation energy from the elements   0.1132 eV/atom
Energy relative to the lowest polymorph listed for this composition   99 meV/atom

abc: 3.625 3.625 33.468
angles: 90.00 90.00 90.00
Space group I4_1/amd (No. 141, origin choice 2)
One atom of each set of equivalent atoms:
La 0.000 0.250 0.375 x4
Pr 0.000 0.250 0.797 x8

DFT (PBE) results for a geometry-optimized Ce2AlZn4Si3 structure.

Formation energy from raw total energies   -0.363 eV/atom

abc: 4.149 4.149 10.605
angles: 90.00 90.00 90.00
Space group P-4m2 (No. 115)
One atom of each set of equivalent atoms:
Ce 0.000 0.500 0.248 x2
Al 0.000 0.000 0.500 x1
Zn 0.000 0.000 0.000 x1
Zn 0.000 0.500 0.636 x2
Zn 0.500 0.500 0.000 x1
Si 0.000 0.500 0.863 x2
Si 0.500 0.500 0.500 x1

DFT (PBE) results for a geometry-optimized NdRuBr structure.

Energy relative to the lowest polymorph listed for this composition   2 meV/atom
Formation energy from raw total energies   -0.945 eV/atom

abc: 4.2293 4.2293 34.4972
angles: 90.00 90.00 120.00
Space group R-3m (No. 166, hexagonal axes)
One atom of each set of equivalent atoms:
Nd 0.0000 0.0000 0.0594 x6
Ru 0.0000 0.0000 0.3356 x6
Br 0.0000 0.0000 0.2193 x6

DFT (PBE) results for a geometry-optimized Zr2ScTa structure.

Formation energy from the elements   0.1532 eV/atom

abc: 4.530 4.530 4.240
angles: 90.00 90.00 90.00
Space group P4/mmm (No. 123)
One atom of each set of equivalent atoms:
Zr 0.000 0.500 0.000 x2
Sc 0.000 0.000 0.500 x1
Ta 0.500 0.500 0.500 x1

DFT (PBE) results for a geometry-optimized TaCrBr2 structure.

Energy relative to the lowest polymorph listed for this composition   0 meV/atom
Formation energy from raw total energies   0.057 eV/atom

abc: 14.741 3.298 4.114
angles: 90.00 95.41 90.00
Space group C2/m (No. 12)
One atom of each set of equivalent atoms:
Ta 0.000 0.000 0.000 x2
Cr 0.000 0.500 0.500 x2
Br 0.141 0.500 0.210 x4

DFT (PBE) results for a geometry-optimized LaMoCl structure.

Energy relative to the lowest polymorph listed for this composition   1 meV/atom
Formation energy from raw total energies   0.131 eV/atom

abc: 4.112 5.500 13.349
angles: 90.00 90.00 90.00
Space group Fmm2 (No. 42)
One atom of each set of equivalent atoms:
La 0.000 0.000 0.000 x4
Mo 0.000 0.000 0.656 x4
Cl 0.000 0.000 0.340 x4

DFT (PBE) results for a geometry-optimized Be2Ge2H structure.

Energy relative to the lowest polymorph listed for this composition   0 meV/atom

abc: 3.449 3.449 10.832
angles: 90.00 90.00 90.00
Space group I4/mmm (No. 139)
One atom of each set of equivalent atoms:
Be 0.000 0.500 0.250 x4
Ge 0.000 0.000 0.111 x4
H 0.000 0.000 0.500 x2

DFT (PBE) results for a geometry-optimized Ho6In5Ga structure.

Formation energy from the elements   -0.4664 eV/atom

abc: 5.259 15.773 7.422
angles: 90.00 90.00 90.00
Space group Cmmm (No. 65)
One atom of each set of equivalent atoms:
Ho 0.000 0.000 0.242 x4
Ho 0.000 0.338 0.247 x8
In 0.000 0.168 0.500 x4
In 0.000 0.170 0.000 x4
In 0.000 0.500 0.500 x2
Ga 0.000 0.500 0.000 x2

DFT (PBE) results for a geometry-optimized CoNiBr2 structure.

Energy relative to the lowest polymorph listed for this composition   293 meV/atom
Formation energy from raw total energies   0.347 eV/atom

abc: 6.364 3.696 6.441
angles: 90.00 107.73 90.00
Space group C2/m (No. 12)
One atom of each set of equivalent atoms:
Co 0.000 0.000 0.000 x2
Ni 0.000 0.500 0.500 x2
Br 0.227 0.500 0.247 x4

DFT (PBE) results for a geometry-optimized KRh2Se structure.

Formation energy from raw total energies   -0.109 eV/atom

abc: 7.420 4.283 6.437
angles: 90.00 112.48 90.00
Space group C2/m (No. 12)
One atom of each set of equivalent atoms:
K 0.000 0.000 0.000 x2
Rh 0.194 0.000 0.582 x4
Se 0.000 0.500 0.500 x2

DFT (PBE) results for a geometry-optimized Sm2Sb7Rh12 structure.

Formation energy from raw total energies   -0.584 eV/atom

abc: 10.5308 10.5308 4.0921
angles: 90.00 90.00 120.00
Space group P-3 (No. 147)
One atom of each set of equivalent atoms:
Sm 0.3333 0.6667 0.2453 x2
Sb 0.0000 0.0000 0.5000 x1
Sb 0.1137 0.7095 0.7466 x6
Rh 0.0635 0.4428 0.7505 x6
Rh 0.1190 0.2641 0.2436 x6

DFT (PBE) results for a geometry-optimized TaV3Mo2 structure.

Formation energy from the elements   0.1417 eV/atom

abc: 12.961 4.388 6.706
angles: 90.00 93.96 90.00
Space group C2/m (No. 12)
One atom of each set of equivalent atoms:
Ta 0.145 0.000 0.283 x4
V 0.078 0.000 0.874 x4
V 0.116 0.500 0.586 x4
V 0.193 0.500 0.972 x4
Mo 0.033 0.500 0.192 x4
Mo 0.231 0.000 0.662 x4

DFT (PBE) results for a geometry-optimized Tb3Mg3Ga8 structure.

Formation energy from the elements   -0.4454 eV/atom

abc: 4.275 9.701 13.579
angles: 90.00 90.00 90.00
Space group Immm (No. 71)
One atom of each set of equivalent atoms:
Tb 0.000 0.000 0.000 x2
Tb 0.000 0.000 0.299 x4
Mg 0.000 0.212 0.500 x4
Mg 0.000 0.500 0.000 x2
Ga 0.000 0.280 0.142 x8
Ga 0.000 0.369 0.337 x8

DFT (PBE) results for a geometry-optimized BaTaTi3 structure.

Formation energy from the elements   0.8449 eV/atom
Energy relative to the lowest polymorph listed for this composition   0 meV/atom

abc: 5.067 5.067 5.067
angles: 90.00 90.00 90.00
Space group Pm-3m (No. 221)
One atom of each set of equivalent atoms:
Ba 0.000 0.000 0.000 x1
Ta 0.500 0.500 0.500 x1
Ti 0.000 0.500 0.500 x3

DFT (PBE) results for a geometry-optimized Y9Ho4Er11 structure.

Formation energy from the elements   0.0435 eV/atom

abc: 16.598 25.020 3.647
angles: 90.00 90.00 90.00
Space group Cmmm (No. 65)
One atom of each set of equivalent atoms:
Y 0.000 0.000 0.000 x2
Y 0.103 0.234 0.000 x8
Y 0.142 0.427 0.000 x8
Ho 0.155 0.101 0.000 x8
Er 0.000 0.133 0.500 x4
Er 0.000 0.341 0.500 x4
Er 0.000 0.500 0.500 x2
Er 0.207 0.000 0.500 x4
Er 0.226 0.319 0.500 x8

DFT (PBE) results for a geometry-optimized TmNi2Ge2 structure.

Formation energy from the elements   -0.6684 eV/atom

abc: 4.047 4.047 9.755
angles: 90.00 90.00 90.00
Space group I4/mmm (No. 139)
One atom of each set of equivalent atoms:
Tm 0.000 0.000 0.000 x2
Ni 0.000 0.500 0.250 x4
Ge 0.000 0.000 0.372 x4

DFT (PBE) results for a geometry-optimized Pt2SeCl structure.

Energy relative to the lowest polymorph listed for this composition   437 meV/atom
Formation energy from raw total energies   0.189 eV/atom

abc: 2.928 3.530 7.326
angles: 90.00 90.37 90.00
Space group P2/m (No. 10)
One atom of each set of equivalent atoms:
Pt 0.002 0.000 0.241 x2
Se 0.000 0.500 0.000 x1
Cl 0.000 0.500 0.500 x1

DFT (PBE) results for a geometry-optimized InRh2Pb structure.

Formation energy from the elements   0.2772 eV/atom

abc: 4.329 4.329 17.987
angles: 90.00 90.00 90.00
Space group I-42d (No. 122)
One atom of each set of equivalent atoms:
In 0.000 0.000 0.000 x4
Rh 0.221 0.250 0.125 x8
Pb 0.000 0.000 0.500 x4

DFT (PBE) results for a geometry-optimized ScAl3Ru4 structure.

Formation energy from the elements   -0.6228 eV/atom

abc: 3.091 4.294 8.628
angles: 90.00 90.00 90.00
Space group Pmmm (No. 47)
One atom of each set of equivalent atoms:
Sc 0.000 0.000 0.000 x1
Al 0.000 0.000 0.500 x1
Al 0.000 0.500 0.251 x2
Ru 0.500 0.000 0.263 x2
Ru 0.500 0.500 0.000 x1
Ru 0.500 0.500 0.500 x1

DFT (PBE) results for a geometry-optimized Pm3Nd5Bi8 structure.

Formation energy from the elements   -0.9462 eV/atom

abc: 9.1973 9.1973 22.5308
angles: 90.00 90.00 120.00
Space group R-3m (No. 166, hexagonal axes)
One atom of each set of equivalent atoms:
Pm 0.0000 0.5000 0.0000 x9
Nd 0.0000 0.0000 0.0000 x3
Nd 0.0000 0.0000 0.5000 x3
Nd 0.0000 0.5000 0.5000 x9
Bi 0.0000 0.0000 0.2506 x6
Bi 0.0008 0.5004 0.2504 x18

DFT (PBE) results for a geometry-optimized Rb2ErCu2Se4 structure.

Formation energy from raw total energies   -1.056 eV/atom

abc: 15.099 4.047 8.221
angles: 90.00 108.33 90.00
Space group C2/m (No. 12)
One atom of each set of equivalent atoms:
Rb 0.132 0.000 0.055 x4
Er 0.000 0.000 0.500 x2
Cu 0.182 0.500 0.487 x4
Se 0.023 0.500 0.274 x4
Se 0.200 0.000 0.670 x4

DFT (PBE) results for a geometry-optimized Hf2In2As structure.

Formation energy from the elements   -0.3739 eV/atom

abc: 6.968 6.968 4.658
angles: 90.00 90.00 90.00
Space group P4/mbm (No. 127)
One atom of each set of equivalent atoms:
Hf 0.159 0.341 0.000 x4
In 0.152 0.652 0.500 x4
As 0.000 0.000 0.000 x2